Entry one
# PBE Sc2In2Ni, relaxed
# - Spin magnetization: 0.00 μB/f.u.
# - Crystal system: tetragonal
# - V: 21.224 A^3/atom
data_Sc2In2Ni
_chemical_formula_sum 'Sc4 In4 Ni2'
_symmetry_space_group_name_H-M 'P 4/m b m'
_symmetry_Int_Tables_number 127
_symmetry_space_group_name_Hall '-P 4 2ab'
_cell_length_a 6.918
_cell_length_b 6.918
_cell_length_c 4.434
_cell_angle_alpha 90.00
_cell_angle_beta 90.00
_cell_angle_gamma 90.00
loop_
_atom_site_label
_atom_site_type_symbol
_atom_site_fract_x
_atom_site_fract_y
_atom_site_fract_z
_atom_site_occupancy
Sc1 Sc 0.164 0.336 0.000 1
In1 In 0.147 0.647 0.500 1
Ni1 Ni 0.000 0.000 0.500 1

Entry two
# PBE Sc2In2Ni, relaxed
# - Spin magnetization: 0.00 μB/f.u.
# - Crystal system: tetragonal
# - V: 22.234 A^3/atom
data_Sc2In2Ni
_chemical_formula_sum 'Sc4 In4 Ni2'
_symmetry_space_group_name_H-M 'P 4/m b m'
_symmetry_Int_Tables_number 127
_symmetry_space_group_name_Hall '-P 4 2ab'
_cell_length_a 6.768
_cell_length_b 6.768
_cell_length_c 4.854
_cell_angle_alpha 90.00
_cell_angle_beta 90.00
_cell_angle_gamma 90.00
loop_
_atom_site_label
_atom_site_type_symbol
_atom_site_fract_x
_atom_site_fract_y
_atom_site_fract_z
_atom_site_occupancy
Sc1 Sc 0.160 0.340 0.000 1
In1 In 0.158 0.658 0.500 1
Ni1 Ni 0.000 0.000 0.000 1

Q: What are the energies relative to the best structure? A: entry one 0.0; entry two 13.2, in kJ/mol of atoms.

Entry one
# PBE Sc3InNi, relaxed
# - Spin magnetization: 0.00 μB/f.u.
# - Crystal system: cubic
# - V: 23.159 A^3/atom
data_Sc3InNi
_chemical_formula_sum 'Sc3 In1 Ni1'
_symmetry_space_group_name_H-M 'P m -3 m'
_symmetry_Int_Tables_number 221
_symmetry_space_group_name_Hall '-P 4 2 3'
_cell_length_a 4.874
_cell_length_b 4.874
_cell_length_c 4.874
_cell_angle_alpha 90.00
_cell_angle_beta 90.00
_cell_angle_gamma 90.00
loop_
_atom_site_label
_atom_site_type_symbol
_atom_site_fract_x
_atom_site_fract_y
_atom_site_fract_z
_atom_site_occupancy
Sc1 Sc 0.000 0.000 0.500 1
In1 In 0.500 0.500 0.500 1
Ni1 Ni 0.000 0.000 0.000 1

Entry two
# PBE Sc3InNi, relaxed
# - Spin magnetization: 0.00 μB/f.u.
# - Crystal system: cubic
# - V: 29.493 A^3/atom
data_Sc3InNi
_chemical_formula_sum 'Sc3 In1 Ni1'
_symmetry_space_group_name_H-M 'P m -3 m'
_symmetry_Int_Tables_number 221
_symmetry_space_group_name_Hall '-P 4 2 3'
_cell_length_a 5.283
_cell_length_b 5.283
_cell_length_c 5.283
_cell_angle_alpha 90.00
_cell_angle_beta 90.00
_cell_angle_gamma 90.00
loop_
_atom_site_label
_atom_site_type_symbol
_atom_site_fract_x
_atom_site_fract_y
_atom_site_fract_z
_atom_site_occupancy
Sc1 Sc 0.000 0.000 0.500 1
In1 In 0.000 0.000 0.000 1
Ni1 Ni 0.500 0.500 0.500 1

Q: What are the energies relative to the best structure? A: entry one 0.0; entry two 104.8, in kJ/mol of atoms.

Entry one
# PBE Sc3InNi8, relaxed
# - Spin magnetization: 0.00 μB/f.u.
# - Crystal system: trigonal
# - V: 13.779 A^3/atom
data_Sc3InNi8
_chemical_formula_sum 'Sc9 In3 Ni24'
_symmetry_space_group_name_H-M 'R 3 m'
_symmetry_Int_Tables_number 160
_symmetry_space_group_name_Hall 'R 3 -2"'
_cell_length_a 4.8815
_cell_length_b 4.8815
_cell_length_c 24.0368
_cell_angle_alpha 90.00
_cell_angle_beta 90.00
_cell_angle_gamma 120.00
loop_
_atom_site_label
_atom_site_type_symbol
_atom_site_fract_x
_atom_site_fract_y
_atom_site_fract_z
_atom_site_occupancy
Sc1 Sc 0.0000 0.0000 0.0000 1
Sc2 Sc 0.0000 0.0000 0.1265 1
Sc3 Sc 0.0000 0.0000 0.6218 1
In1 In 0.0000 0.0000 0.4983 1
Ni1 Ni 0.0000 0.0000 0.3123 1
Ni2 Ni 0.0000 0.0000 0.8119 1
Ni3 Ni 0.9995 0.4998 0.0609 1
Ni4 Ni 0.0016 0.5008 0.5629 1

Entry two
# PBE Sc3InNi8, relaxed
# - Spin magnetization: 0.00 μB/f.u.
# - Crystal system: trigonal
# - V: 13.805 A^3/atom
data_Sc3InNi8
_chemical_formula_sum 'Sc3 In1 Ni8'
_symmetry_space_group_name_H-M 'P 3 m 1'
_symmetry_Int_Tables_number 156
_symmetry_space_group_name_Hall 'P 3 -2"'
_cell_length_a 4.8923
_cell_length_b 4.8923
_cell_length_c 7.9922
_cell_angle_alpha 90.00
_cell_angle_beta 90.00
_cell_angle_gamma 120.00
loop_
_atom_site_label
_atom_site_type_symbol
_atom_site_fract_x
_atom_site_fract_y
_atom_site_fract_z
_atom_site_occupancy
Sc1 Sc 0.0000 0.0000 0.0000 1
Sc2 Sc 0.0000 0.0000 0.3794 1
Sc3 Sc 0.3333 0.6667 0.8583 1
In1 In 0.3333 0.6667 0.4922 1
Ni1 Ni 0.0035 0.5017 0.1833 1
Ni2 Ni 0.3316 0.1658 0.6880 1
Ni3 Ni 0.6667 0.3333 0.4354 1
Ni4 Ni 0.6667 0.3333 0.9396 1

Q: What are the energies relative to the best structure? A: entry one 0.0; entry two 1.1, in kJ/mol of atoms.